Record 1
La2CdW | PBE | relaxed

Results
total magnetization = 0.000 μB/f.u.
E_form = 0.5577 eV per atom
volume = 25.473 A^3/atom

```
La2CdW
1.0
1.758 -2.585 0.000
1.758 2.585 0.000
0.000 0.000 11.209
La Cd W
2 1 1
Direct
0.000 0.000 0.000
0.500 0.500 0.326
0.000 0.000 0.584
0.500 0.500 0.789
```

---

Record 2
MnBe5Co4 | PBE | relaxed

Results
total magnetization = 1.804 μB/f.u.
E_form = -0.2675 eV per atom
volume = 8.968 A^3/atom

```
MnBe5Co4
1.0
2.619 0.000 0.000
0.000 2.619 0.000
0.000 0.000 13.076
Mn Be Co
1 5 4
Direct
0.000 0.000 0.000
0.500 0.500 0.114
0.500 0.500 0.302
0.500 0.500 0.500
0.500 0.500 0.698
0.500 0.500 0.886
0.000 0.000 0.204
0.000 0.000 0.402
0.000 0.000 0.598
0.000 0.000 0.796
```

---

Record 3
Li6SnPd12 | PBE | relaxed

Results
total magnetization = 0.000 μB/f.u.
E_form = -0.3742 eV per atom
volume = 14.984 A^3/atom
distance to the lowest polymorph of the same formula = 0.0 meV/atom

```
Li6SnPd12
1.0
6.026 3.479 2.263
-6.026 3.479 2.263
0.000 -6.958 2.263
Li Sn Pd
6 1 12
Direct
0.054 0.569 0.360
0.360 0.054 0.569
0.431 0.640 0.946
0.569 0.360 0.054
0.640 0.946 0.431
0.946 0.431 0.640
0.000 0.000 0.000
0.103 0.165 0.734
0.165 0.734 0.103
0.210 0.318 0.480
0.266 0.897 0.835
0.318 0.480 0.210
0.480 0.210 0.318
0.520 0.790 0.682
0.682 0.520 0.790
0.734 0.103 0.165
0.790 0.682 0.520
0.835 0.266 0.897
0.897 0.835 0.266
```

---

Record 4
Pa3Ga2Ni4 | PBE | relaxed

Results
total magnetization = 0.000 μB/f.u.
E_form = -0.2170 eV per atom
volume = 17.829 A^3/atom
distance to the lowest polymorph of the same formula = 252.6 meV/atom

```
Pa3Ga2Ni4
1.0
-1.600 3.786 6.622
1.600 -3.786 6.622
1.600 3.786 -6.622
Pa Ga Ni
3 2 4
Direct
0.000 0.000 0.000
0.334 0.834 0.500
0.666 0.166 0.500
0.331 0.500 0.831
0.669 0.500 0.169
0.018 0.332 0.687
0.355 0.668 0.687
0.645 0.332 0.313
0.982 0.668 0.313
```

---

Record 5
Sc2HgCl | PBE | relaxed

Results
formation energy (no corrections) = -0.55 eV per atom
total magnetization = 0.823 μB/f.u.
volume = 21.466 A^3/atom
distance to the lowest polymorph of the same formula = 246.8 meV/atom

```
Sc2HgCl
1.0
3.633 -3.726 0.000
3.633 3.726 0.000
-0.543 0.000 3.171
Sc Hg Cl
2 1 1
Direct
0.000 0.500 0.000
0.500 0.000 0.000
0.000 0.000 0.500
0.500 0.500 0.500
```